No. 1
Tb2Er4Tm5, relaxed, DFT PBE; ΔE to the lowest computed polymorph = 78 meV per atom; symmetry = No. 12; energy of formation from the pure elements = 102 meV per atom; spin magnetization = 0.00 μB/cell
1.0
3.484 0.000 0.000
0.000 8.242 -1.727
-1.742 -4.869 12.988
Tb Er Tm
2 4 5
Direct
0.724 0.619 0.447
0.276 0.381 0.553
0.588 0.485 0.176
0.039 0.736 0.078
0.412 0.515 0.824
0.961 0.264 0.922
0.185 0.897 0.370
0.815 0.103 0.630
0.129 0.213 0.259
0.500 0.000 0.000
0.871 0.787 0.741

---

No. 2
RbCrGe2Cl8, relaxed, DFT PBE; symmetry = No. 2; uncorrected formation energy = -1.094 eV per atom; spin magnetization = 3.00 μB/cell
1.0
6.501 1.903 0.056
1.548 6.569 0.053
-0.061 -0.068 8.641
Rb Cr Ge Cl
1 1 2 8
Direct
0.000 0.000 0.500
0.000 0.000 0.000
0.333 0.334 0.845
0.667 0.666 0.155
0.253 0.696 0.160
0.695 0.051 0.159
0.051 0.256 0.159
0.747 0.304 0.840
0.305 0.949 0.841
0.949 0.744 0.841
0.668 0.666 0.419
0.332 0.334 0.581

---

No. 3
Zn2Ag, relaxed, DFT PBE; symmetry = No. 205; energy of formation from the pure elements = 314 meV per atom; spin magnetization = 0.00 μB/cell
1.0
6.298 0.000 0.000
0.000 6.298 0.000
0.000 0.000 6.298
Zn Ag
8 4
Direct
0.125 0.625 0.875
0.125 0.875 0.375
0.375 0.125 0.875
0.375 0.375 0.375
0.625 0.625 0.625
0.625 0.875 0.125
0.875 0.125 0.625
0.875 0.375 0.125
0.000 0.000 0.000
0.000 0.500 0.500
0.500 0.000 0.500
0.500 0.500 0.000